This record from the Alexandria database describes LiGdYNi after structural relaxation. The functional is PBE-GGA.

Cell: 4.9602 4.9602 4.9602 Å, 60.00 60.00 60.00°
Atoms (fractional coordinates):
Ni  0.0000  0.0000  0.0000
Gd  0.2500  0.2500  0.2500
Y  0.7500  0.7500  0.7500
Li  0.5000  0.5000  0.5000

Computed properties:
- DFT formation energy: -0.1195 eV/atom
- Spin magnetization: 7.23 μB per cell
- Crystal system: cubic
- Space group: No. 216


This record from the Alexandria database describes LiGdZnNi after structural relaxation. The functional is PBE-GGA.

Cell: 4.5794 4.5794 4.5794 Å, 60.00 60.00 60.00°
Atoms (fractional coordinates):
Zn  0.5000  0.5000  0.5000
Li  0.7500  0.7500  0.7500
Gd  0.0000  0.0000  0.0000
Ni  0.2500  0.2500  0.2500

Computed properties:
- DFT formation energy: -0.1875 eV/atom
- Spin magnetization: 7.74 μB per cell
- Crystal system: cubic
- Space group: No. 216


This record from the Alexandria database describes LiGdO2 after structural relaxation. The functional is PBE-GGA.

Cell: 6.1738 6.4069 6.5302 Å, 59.56 90.00 90.00°
Atoms (fractional coordinates):
O  0.1830  0.9799  0.8657
O  0.1058  0.4480  0.2365
O  0.6830  0.0201  0.6343
O  0.3170  0.9799  0.3657
O  0.6058  0.5520  0.2635
O  0.8942  0.5520  0.7635
O  0.3942  0.4480  0.7365
O  0.8170  0.0201  0.1343
Gd  0.1331  0.2274  0.0304
Gd  0.8669  0.7726  0.9696
Gd  0.6331  0.7726  0.4696
Gd  0.3669  0.2274  0.5304
Li  0.8383  0.3045  0.4167
Li  0.3383  0.6955  0.0833
Li  0.6617  0.3045  0.9167
Li  0.1617  0.6955  0.5833

Computed properties:
- Energy relative to the elements, uncorrected: -2.854 eV/atom
- Spin magnetization: 28.00 μB per cell
- Crystal system: monoclinic
- Space group: No. 14


This record from the Alexandria database describes LiGdO2 after structural relaxation. The functional is PBE-GGA.

Cell: 2.9377 2.9377 5.7949 Å, 90.00 90.00 90.00°
Atoms (fractional coordinates):
O  0.0000  0.0000  0.7260
O  0.0000  0.0000  0.2740
Gd  0.5000  0.5000  0.5000
Li  0.5000  0.5000  0.0000

Computed properties:
- Energy relative to the elements, uncorrected: -2.190 eV/atom
- Spin magnetization: 7.00 μB per cell
- Crystal system: tetragonal
- Space group: No. 123


This record from the Alexandria database describes LiGdO3 after structural relaxation. The functional is PBE-GGA.

Cell: 3.7169 3.7169 3.7169 Å, 90.00 90.00 90.00°
Atoms (fractional coordinates):
O  0.0000  0.5000  0.5000
O  0.5000  0.0000  0.5000
O  0.5000  0.5000  0.0000
Li  0.5000  0.5000  0.5000
Gd  0.0000  0.0000  0.0000

Computed properties:
- Energy relative to the elements, uncorrected: -1.830 eV/atom
- Spin magnetization: 9.00 μB per cell
- Crystal system: cubic
- Space group: No. 221


This record from the Alexandria database describes LiGdO2 after structural relaxation. The functional is PBE-GGA.

Cell: 3.4352 3.4352 5.4604 Å, 71.67 71.67 60.00°
Atoms (fractional coordinates):
O  0.2461  0.2461  0.2618
O  0.7539  0.7539  0.7382
Gd  0.5000  0.5000  0.5000
Li  0.0000  0.0000  0.0000

Computed properties:
- Energy relative to the elements, uncorrected: -2.751 eV/atom
- Spin magnetization: 7.00 μB per cell
- Crystal system: trigonal
- Space group: No. 166